Entry 1:
Tl3Cd3CuO8: optimized geometry, PBE-GGA.

Values from the calculation:
E_form (uncorrected)   -0.673 eV/atom
Volume   217.3 Å³ per cell
Space group   No. 12

The structure in POSCAR format:
```
Tl3Cd3CuO8
1.0
5.8047 -3.3911 0.0000
5.8047 3.3911 0.0000
-3.9431 0.0000 5.5208
Tl Cd Cu O
3 3 1 8
Direct
0.0000 0.0000 0.0000
0.0000 0.5000 0.0000
0.5000 0.0000 0.0000
0.0000 0.5000 0.5000
0.5000 0.0000 0.5000
0.5000 0.5000 0.5000
0.5000 0.5000 0.0000
0.2548 0.2548 0.2643
0.2568 0.7294 0.2202
0.2706 0.7432 0.7798
0.2861 0.2861 0.7855
0.7140 0.7140 0.2145
0.7294 0.2568 0.2202
0.7432 0.2706 0.7798
0.7452 0.7452 0.7357
```

Entry 2:
UCdCu2O6: optimized geometry, PBE-GGA.

Values from the calculation:
E_form (uncorrected)   -1.557 eV/atom
Volume   273.6 Å³ per cell
Space group   No. 15

The structure in POSCAR format:
```
UCdCu2O6
1.0
5.0260 -4.8791 0.0000
5.0260 4.8791 0.0000
-0.8700 0.0000 5.5786
U Cd Cu O
2 2 4 12
Direct
0.2216 0.7784 0.7500
0.7784 0.2216 0.2500
0.4121 0.5879 0.2500
0.5879 0.4121 0.7500
0.0991 0.2772 0.8178
0.2772 0.0991 0.3178
0.7228 0.9009 0.6822
0.9009 0.7228 0.1822
0.0569 0.2104 0.1307
0.1190 0.6659 0.4192
0.2104 0.0569 0.6307
0.2779 0.4912 0.8699
0.3341 0.8810 0.0808
0.4912 0.2779 0.3699
0.5088 0.7221 0.6301
0.6659 0.1190 0.9192
0.7221 0.5088 0.1301
0.7896 0.9431 0.3693
0.8810 0.3341 0.5808
0.9431 0.7896 0.8693
```

Entry 3:
UCd2CuO6: optimized geometry, PBE-GGA.

Values from the calculation:
E_form (uncorrected)   -1.744 eV/atom
Volume   141.1 Å³ per cell
Space group   No. 12

The structure in POSCAR format:
```
UCd2CuO6
1.0
5.2678 -2.8426 0.0000
5.2678 2.8426 0.0000
-2.4237 0.0000 4.7130
U Cd Cu O
1 2 1 6
Direct
0.0000 0.0000 0.0000
0.2490 0.2490 0.6808
0.7510 0.7510 0.3192
0.5000 0.5000 0.5000
0.1827 0.6575 0.6584
0.1914 0.1914 0.0262
0.3425 0.8173 0.3416
0.6575 0.1827 0.6584
0.8086 0.8086 0.9738
0.8173 0.3425 0.3416
```

Entry 4:
UCdCuO5: optimized geometry, PBE-GGA.

Values from the calculation:
E_form (uncorrected)   -1.855 eV/atom
Volume   245.9 Å³ per cell
Space group   No. 15

The structure in POSCAR format:
```
UCdCuO5
1.0
3.4667 -4.6042 0.0000
3.4667 4.6042 0.0000
-3.0388 0.0000 7.7035
U Cd Cu O
2 2 2 10
Direct
0.0000 0.0000 0.0000
0.0000 0.0000 0.5000
0.3180 0.6820 0.7500
0.6820 0.3180 0.2500
0.3435 0.6565 0.2500
0.6565 0.3435 0.7500
0.0870 0.9130 0.7500
0.2004 0.7896 0.4245
0.2104 0.7996 0.0755
0.3202 0.3310 0.1034
0.3310 0.3202 0.6034
0.6690 0.6798 0.3966
0.6798 0.6690 0.8966
0.7896 0.2004 0.9245
0.7996 0.2104 0.5755
0.9130 0.0870 0.2500
```

Entry 5:
UCdCuO6: optimized geometry, PBE-GGA.

Values from the calculation:
E_form (uncorrected)   -1.578 eV/atom
Volume   238.7 Å³ per cell
Space group   No. 163

The structure in POSCAR format:
```
UCdCuO6
1.0
5.2984 0.0000 0.0000
-2.6492 4.5886 0.0000
0.0000 0.0000 9.8180
U Cd Cu O
2 2 2 12
Direct
0.3333 0.6667 0.2500
0.6667 0.3333 0.7500
0.0000 0.0000 0.0000
0.0000 0.0000 0.5000
0.3333 0.6667 0.7500
0.6667 0.3333 0.2500
0.0133 0.3624 0.6388
0.0133 0.6509 0.8612
0.3491 0.3624 0.8612
0.3491 0.9867 0.6388
0.3624 0.0133 0.1388
0.3624 0.3491 0.3612
0.6375 0.6509 0.6388
0.6375 0.9867 0.8612
0.6509 0.0133 0.3612
0.6509 0.6375 0.1388
0.9867 0.3491 0.1388
0.9867 0.6375 0.3612
```

Entry 6:
UCdCu2O8: optimized geometry, PBE-GGA.

Values from the calculation:
E_form (uncorrected)   -1.068 eV/atom
Volume   157.2 Å³ per cell
Space group   No. 119

The structure in POSCAR format:
```
UCdCu2O8
1.0
-3.4006 3.4006 3.3995
3.4006 -3.4006 3.3995
3.4006 3.4006 -3.3995
U Cd Cu O
1 1 2 8
Direct
0.0000 0.0000 0.0000
0.2500 0.7500 0.5000
0.5000 0.5000 0.0000
0.7500 0.2500 0.5000
0.2943 0.1254 0.8311
0.2943 0.4632 0.1689
0.3580 0.0561 0.3019
0.5368 0.7057 0.8311
0.7542 0.0561 0.6981
0.8746 0.7057 0.1689
0.9439 0.2458 0.3019
0.9439 0.6420 0.6981
```